Nd3Y3Au4 | GGA-PBE | optimized geometry

- electronic total energy (eV per atom) = -5.35
- density (Mg/m³) = 9.2
- ΔE_f (eV per atom) = -0.6681

Unit cell a=3.889 b=8.311 c=8.311 alpha=91.07 beta=90.00 gamma=90.00
Fractional coordinates of all 10 atoms:
Nd: 0.000 0.000 0.000
Nd: 0.000 0.491 0.823
Nd: 0.000 0.823 0.491
Y: 0.000 0.329 0.329
Y: 0.500 0.157 0.660
Y: 0.500 0.660 0.157
Au: 0.500 0.038 0.297
Au: 0.500 0.297 0.038
Au: 0.500 0.525 0.525
Au: 0.500 0.791 0.791